MgFe2O4 | Alexandria via LeMat-Bulk | PBE with a Hubbard U | optimized geometry; ΔE to the lowest computed polymorph = 9.2 kJ per mole of atoms; calculated volume = 452.7 Å³ per cell; VASP energy = -6.36 eV per atom
1.0
5.978 0.005 0.022
-2.968 5.188 -0.015
0.072 -0.116 14.590
Fe O Mg
12 24 6
direct
0.824 0.666 0.712 Fe
0.165 0.832 0.168 Fe
0.996 0.002 0.501 Fe
0.496 0.502 0.502 Fe
0.492 0.007 0.380 Fe
0.504 0.995 0.996 Fe
0.503 0.998 0.619 Fe
0.165 0.335 0.041 Fe
0.832 0.162 0.831 Fe
0.671 0.338 0.168 Fe
0.336 0.667 0.831 Fe
0.174 0.334 0.292 Fe
0.346 0.155 0.084 O
0.345 0.689 0.084 O
0.663 0.356 0.423 O
0.202 0.836 0.911 O
0.994 0.509 0.248 O
0.657 0.840 0.907 O
0.009 0.494 0.758 O
0.812 0.156 0.084 O
0.813 0.659 0.582 O
0.664 0.296 0.911 O
0.324 0.179 0.575 O
0.854 0.170 0.578 O
0.181 0.347 0.423 O
0.670 0.827 0.426 O
0.997 0.986 0.248 O
0.841 0.661 0.093 O
0.496 0.006 0.247 O
0.518 0.507 0.247 O
0.480 0.501 0.754 O
0.329 0.646 0.578 O
0.502 0.002 0.748 O
0.168 0.328 0.913 O
0.142 0.837 0.424 O
0.997 0.014 0.753 O
0.670 0.833 0.168 Mg
0.997 0.502 0.501 Mg
0.335 0.162 0.832 Mg
0.841 0.658 0.955 Mg
0.165 0.335 0.666 Mg
0.828 0.670 0.336 Mg